(1)
First-principles (GGA-PBE) data for an optimized crystal structure of KReMo2, as listed in the Alexandria database.

a = 5.5725 Å, b = 2.5792 Å, c = 5.6904 Å
α = 90.00°, β = 118.09°, γ = 90.00°
With the nearest neighbours (Å) after each atom.
Space group P2/m (No. 10)
Asymmetric unit:
K 0.0000 0.0000 0.0000 (multiplicity 1)  2 K 2.58, 2 Mo 2.79
Re 0.5000 0.5000 0.5000 (multiplicity 1)  2 Re 2.58, 2 Mo 2.79
Mo 0.0000 0.5000 0.5000 (multiplicity 1)  2 Mo 2.58, 2 Re 2.79
Mo 0.5000 0.0000 0.0000 (multiplicity 1)  2 Mo 2.58, 2 K 2.79

Properties
**ΔE_f**: 1.4540 eV per atom
**Final energy**: -7.35 eV per atom
**Energy above the lowest structure with this stoichiometry**: 719 meV/atom

***

(2)
First-principles (GGA-PBE) data for an optimized crystal structure of KRe2Mo, as listed in the Alexandria database.

a = 2.7003 Å, b = 4.2711 Å, c = 7.7897 Å
α = 90.00°, β = 97.22°, γ = 90.00°
With the nearest neighbours (Å) after each atom.
Space group P2/m (No. 10)
Asymmetric unit:
K 0.0000 0.0000 0.0000 (multiplicity 1)  2 K 2.70
Re 0.1694 0.5000 0.6524 (multiplicity 2)  3 Re 2.44-2.70, 2 Mo 2.65
Mo 0.5000 0.0000 0.5000 (multiplicity 1)  8 Re 2.65-2.95, 2 Mo 2.70

Properties
**ΔE_f**: 0.9504 eV per atom
**Final energy**: -8.26 eV per atom
**Energy above the lowest structure with this stoichiometry**: 208 meV/atom

***

(3)
First-principles (GGA-PBE) data for an optimized crystal structure of KRe2Mo, as listed in the Alexandria database.

a = 5.0143 Å, b = 5.0143 Å, c = 17.2349 Å
α = 90.00°, β = 90.00°, γ = 90.00°
With the nearest neighbours (Å) after each atom.
Space group I4_1/amd (No. 141, origin choice 2)
Asymmetric unit:
K 0.0000 0.2500 0.3750 (multiplicity 4)  8 Re 3.54, 4 Mo 3.55
Re 0.0000 0.0000 0.0000 (multiplicity 8)  2 Mo 2.49, 2 Re 2.51
Mo 0.0000 0.2500 0.8750 (multiplicity 4)  4 Re 2.49

Properties
**ΔE_f**: 1.8341 eV per atom
**Final energy**: -7.37 eV per atom
**Energy above the lowest structure with this stoichiometry**: 1092 meV/atom

***

(4)
First-principles (GGA-PBE) data for an optimized crystal structure of KRe4Mo, as listed in the Alexandria database.

a = 7.4950 Å, b = 7.4950 Å, c = 7.4950 Å
α = 90.00°, β = 90.00°, γ = 90.00°
With the nearest neighbours (Å) after each atom.
Space group F-43m (No. 216)
Asymmetric unit:
K 0.0000 0.0000 0.0000 (multiplicity 4)  12 Re 3.11, 4 Mo 3.25
Re 0.1247 0.1247 0.3753 (multiplicity 16)  6 Re 2.64-2.66
Mo 0.2500 0.2500 0.7500 (multiplicity 4)  12 Re 3.11, 4 K 3.25

Properties
**ΔE_f**: 0.9590 eV per atom
**Final energy**: -9.33 eV per atom

***

(5)
First-principles (GGA-PBE) data for an optimized crystal structure of KReMo3, as listed in the Alexandria database.

a = 4.4142 Å, b = 4.4142 Å, c = 4.4142 Å
α = 90.00°, β = 90.00°, γ = 90.00°
With the nearest neighbours (Å) after each atom.
Space group Pm-3m (No. 221)
Asymmetric unit:
K 0.0000 0.0000 0.0000 (multiplicity 1)  6 Mo 2.21
Re 0.5000 0.5000 0.5000 (multiplicity 1)  12 Mo 3.12
Mo 0.0000 0.0000 0.5000 (multiplicity 3)  2 K 2.21

Properties
**ΔE_f**: 3.2011 eV per atom
**Final energy**: -6.01 eV per atom
**Energy above the lowest structure with this stoichiometry**: 1470 meV/atom

***

(6)
First-principles (GGA-PBE) data for an optimized crystal structure of KReMo2, as listed in the Alexandria database.

a = 6.5184 Å, b = 6.5184 Å, c = 6.5184 Å
α = 90.00°, β = 90.00°, γ = 90.00°
With the nearest neighbours (Å) after each atom.
Space group Fm-3m (No. 225)
Asymmetric unit:
K 0.0000 0.0000 0.0000 (multiplicity 4)  8 Mo 2.82
Re 0.0000 0.0000 0.5000 (multiplicity 4)  8 Mo 2.82
Mo 0.2500 0.2500 0.2500 (multiplicity 8)  4 K 2.82, 4 Re 2.82

Properties
**ΔE_f**: 1.4557 eV per atom
**Final energy**: -7.35 eV per atom
**Energy above the lowest structure with this stoichiometry**: 721 meV/atom

***

(7)
First-principles (GGA-PBE) data for an optimized crystal structure of KRe2Mo, as listed in the Alexandria database.

a = 3.8175 Å, b = 3.8175 Å, c = 4.8537 Å
α = 90.00°, β = 90.00°, γ = 90.00°
With the nearest neighbours (Å) after each atom.
Space group P4/mmm (No. 123)
Asymmetric unit:
K 0.0000 0.0000 0.0000 (multiplicity 1)  4 Mo 2.70
Re 0.0000 0.5000 0.5000 (multiplicity 2)  4 Re 2.70
Mo 0.5000 0.5000 0.0000 (multiplicity 1)  4 K 2.70

Properties
**ΔE_f**: 1.9736 eV per atom
**Final energy**: -7.23 eV per atom
**Energy above the lowest structure with this stoichiometry**: 1231 meV/atom

***

(8)
First-principles (GGA-PBE) data for an optimized crystal structure of KReMo2, as listed in the Alexandria database.

a = 2.8487 Å, b = 4.1331 Å, c = 7.9238 Å
α = 90.00°, β = 96.91°, γ = 90.00°
With the nearest neighbours (Å) after each atom.
Space group P2/m (No. 10)
Asymmetric unit:
K 0.0000 0.0000 0.0000 (multiplicity 1)  2 K 2.85
Re 0.5000 0.0000 0.5000 (multiplicity 1)  8 Mo 2.62-2.92, 2 Re 2.85
Mo 0.1520 0.5000 0.6453 (multiplicity 2)  1 Mo 2.36, 2 Re 2.62

Properties
**ΔE_f**: 0.8293 eV per atom
**Final energy**: -7.97 eV per atom
**Energy above the lowest structure with this stoichiometry**: 95 meV/atom

***

(9)
First-principles (GGA-PBE) data for an optimized crystal structure of KReMo2, as listed in the Alexandria database.

a = 2.7640 Å, b = 4.3334 Å, c = 7.6971 Å
α = 90.00°, β = 94.74°, γ = 90.00°
With the nearest neighbours (Å) after each atom.
Space group Pm (No. 6)
Asymmetric unit:
K 0.0000 0.0000 0.0000 (multiplicity 1)  2 K 2.76
Re 0.2249 0.5000 0.6531 (multiplicity 1)  3 Mo 2.39-2.61
Mo 0.5591 0.0000 0.5158 (multiplicity 1)  2 Re 2.61, 4 Mo 2.68-2.76
Mo 0.8842 0.5000 0.3575 (multiplicity 1)  1 Re 2.39

Properties
**ΔE_f**: 0.8909 eV per atom
**Final energy**: -7.91 eV per atom
**Energy above the lowest structure with this stoichiometry**: 156 meV/atom

***

(10)
First-principles (GGA-PBE) data for an optimized crystal structure of KReMo2, as listed in the Alexandria database.

a = 2.9014 Å, b = 4.0354 Å, c = 8.0072 Å
α = 90.00°, β = 90.00°, γ = 90.00°
With the nearest neighbours (Å) after each atom.
Space group Pmm2 (No. 25)
Asymmetric unit:
K 0.0000 0.0000 0.0000 (multiplicity 1)  2 K 2.90
Re 0.5000 0.5000 0.6507 (multiplicity 1)  1 Mo 2.33
Mo 0.0000 0.0000 0.5198 (multiplicity 1)  4 Re 2.70, 6 Mo 2.80-2.90
Mo 0.5000 0.5000 0.3599 (multiplicity 1)  1 Re 2.33

Properties
**ΔE_f**: 0.8934 eV per atom
**Final energy**: -7.91 eV per atom
**Energy above the lowest structure with this stoichiometry**: 159 meV/atom

***

(11)
First-principles (GGA-PBE) data for an optimized crystal structure of KRe2Mo, as listed in the Alexandria database.

a = 3.1102 Å, b = 3.1102 Å, c = 8.7202 Å
α = 90.00°, β = 90.00°, γ = 90.00°
With the nearest neighbours (Å) after each atom.
Space group P4/mmm (No. 123)
Asymmetric unit:
K 0.0000 0.0000 0.0000 (multiplicity 1)  4 K 3.11
Re 0.5000 0.5000 0.3342 (multiplicity 2)  4 Mo 2.63, 1 Re 2.89
Mo 0.0000 0.0000 0.5000 (multiplicity 1)  8 Re 2.63

Properties
**ΔE_f**: 1.0033 eV per atom
**Final energy**: -8.20 eV per atom
**Energy above the lowest structure with this stoichiometry**: 261 meV/atom

***

(12)
First-principles (GGA-PBE) data for an optimized crystal structure of KReMo2, as listed in the Alexandria database.

a = 2.6237 Å, b = 5.2075 Å, c = 5.3631 Å
α = 90.00°, β = 90.00°, γ = 90.00°
With the nearest neighbours (Å) after each atom.
Space group Pmmm (No. 47)
Asymmetric unit:
K 0.0000 0.0000 0.0000 (multiplicity 1)  2 K 2.62, 4 Mo 2.92
Re 0.5000 0.0000 0.5000 (multiplicity 1)  2 Re 2.62, 4 Mo 2.92
Mo 0.0000 0.5000 0.5000 (multiplicity 1)  2 Mo 2.62, 4 Re 2.92
Mo 0.5000 0.5000 0.0000 (multiplicity 1)  2 Mo 2.62, 4 K 2.92

Properties
**ΔE_f**: 1.6429 eV per atom
**Final energy**: -7.16 eV per atom
**Energy above the lowest structure with this stoichiometry**: 908 meV/atom

***

(13)
First-principles (GGA-PBE) data for an optimized crystal structure of KMo2Rh, as listed in the Alexandria database.

a = 3.8087 Å, b = 3.8087 Å, c = 5.0351 Å
α = 90.00°, β = 90.00°, γ = 90.00°
With the nearest neighbours (Å) after each atom.
Space group P4/mmm (No. 123)
Asymmetric unit:
K 0.0000 0.0000 0.0000 (multiplicity 1)  4 Rh 2.69
Mo 0.0000 0.5000 0.5000 (multiplicity 2)  4 Mo 2.69
Rh 0.5000 0.5000 0.0000 (multiplicity 1)  4 K 2.69

Properties
**ΔE_f**: 1.4124 eV per atom
**Final energy**: -6.12 eV per atom
**Energy above the lowest structure with this stoichiometry**: 841 meV/atom

***

(14)
First-principles (GGA-PBE) data for an optimized crystal structure of KMo2Rh, as listed in the Alexandria database.

a = 6.4786 Å, b = 6.4786 Å, c = 6.4786 Å
α = 90.00°, β = 90.00°, γ = 90.00°
With the nearest neighbours (Å) after each atom.
Space group Fm-3m (No. 225)
Asymmetric unit:
K 0.0000 0.0000 0.0000 (multiplicity 4)  8 Mo 2.81
Mo 0.2500 0.2500 0.2500 (multiplicity 8)  4 K 2.81, 4 Rh 2.81
Rh 0.0000 0.0000 0.5000 (multiplicity 4)  8 Mo 2.81

Properties
**ΔE_f**: 1.4375 eV per atom
**Final energy**: -6.09 eV per atom
**Energy above the lowest structure with this stoichiometry**: 866 meV/atom

***

(15)
First-principles (GGA-PBE) data for an optimized crystal structure of KMo2Rh, as listed in the Alexandria database.

a = 2.8160 Å, b = 2.8160 Å, c = 32.3235 Å
α = 90.00°, β = 90.00°, γ = 120.00°
With the nearest neighbours (Å) after each atom.
Space group R-3m (No. 166, hexagonal axes)
Asymmetric unit:
K 0.0000 0.0000 0.0000 (multiplicity 3)  6 K 2.82
Mo 0.0000 0.0000 0.2352 (multiplicity 6)  3 Rh 2.75, 6 Mo 2.82
Rh 0.0000 0.0000 0.5000 (multiplicity 3)  6 Mo 2.75, 6 Rh 2.82

Properties
**ΔE_f**: 0.7768 eV per atom
**Final energy**: -6.75 eV per atom
**Energy above the lowest structure with this stoichiometry**: 205 meV/atom

***

(16)
First-principles (GGA-PBE) data for an optimized crystal structure of KMo2Rh, as listed in the Alexandria database.

a = 4.0013 Å, b = 4.0013 Å, c = 20.2203 Å
α = 90.00°, β = 90.00°, γ = 90.00°
With the nearest neighbours (Å) after each atom.
Space group I-42d (No. 122)
Asymmetric unit:
K 0.0000 0.0000 0.0000 (multiplicity 4)  4 Rh 2.83, 4 Mo 3.01
Mo 0.1757 0.2500 0.6250 (multiplicity 8)  2 Mo 2.45
Rh 0.0000 0.0000 0.5000 (multiplicity 4)  4 Mo 2.81, 4 K 2.83

Properties
**ΔE_f**: 1.4610 eV per atom
**Final energy**: -6.07 eV per atom
**Energy above the lowest structure with this stoichiometry**: 889 meV/atom

***

(17)
First-principles (GGA-PBE) data for an optimized crystal structure of KMoRh2, as listed in the Alexandria database.

a = 9.3858 Å, b = 2.8405 Å, c = 6.5603 Å
α = 90.00°, β = 97.78°, γ = 90.00°
With the nearest neighbours (Å) after each atom.
Space group Cm (No. 8)
Asymmetric unit:
K 0.0000 0.0000 0.0000 (multiplicity 2)  2 K 2.84, 1 Rh 3.11
Mo 0.2132 0.0000 0.5912 (multiplicity 2)  5 Rh 2.50-2.68
Rh 0.2699 0.5000 0.2990 (multiplicity 2)  2 Mo 2.50, 2 Rh 2.74
Rh 0.4874 0.0000 0.5205 (multiplicity 2)  3 Mo 2.54-2.68, 4 Rh 2.74-2.84

Properties
**ΔE_f**: 0.6123 eV per atom
**Final energy**: -6.05 eV per atom
**Energy above the lowest structure with this stoichiometry**: 350 meV/atom

***

(18)
First-principles (GGA-PBE) data for an optimized crystal structure of KMo2Rh, as listed in the Alexandria database.

a = 3.8428 Å, b = 3.8428 Å, c = 9.7624 Å
α = 90.00°, β = 90.00°, γ = 90.00°
With the nearest neighbours (Å) after each atom.
Space group I4/mmm (No. 139)
Asymmetric unit:
K 0.0000 0.0000 0.0000 (multiplicity 2)  4 Rh 2.72
Mo 0.0000 0.5000 0.2500 (multiplicity 4)  4 Mo 2.72
Rh 0.0000 0.0000 0.5000 (multiplicity 2)  4 K 2.72

Properties
**ΔE_f**: 1.3766 eV per atom
**Final energy**: -6.15 eV per atom
**Energy above the lowest structure with this stoichiometry**: 805 meV/atom

***

(19)
First-principles (GGA-PBE) data for an optimized crystal structure of KMoRh2, as listed in the Alexandria database.

a = 2.8013 Å, b = 4.8191 Å, c = 5.1699 Å
α = 90.00°, β = 90.00°, γ = 90.00°
With the nearest neighbours (Å) after each atom.
Space group Pmmm (No. 47)
Asymmetric unit:
K 0.0000 0.0000 0.0000 (multiplicity 1)  4 Rh 2.79, 2 K 2.80, 4 Mo 2.94
Mo 0.5000 0.0000 0.5000 (multiplicity 1)  4 Rh 2.79, 2 Mo 2.80, 4 K 2.94
Rh 0.0000 0.5000 0.5000 (multiplicity 1)  4 Mo 2.79, 6 Rh 2.80-2.94
Rh 0.5000 0.5000 0.0000 (multiplicity 1)  4 K 2.79, 6 Rh 2.80-2.94

Properties
**ΔE_f**: 1.1601 eV per atom
**Final energy**: -5.50 eV per atom
**Energy above the lowest structure with this stoichiometry**: 898 meV/atom

***

(20)
First-principles (GGA-PBE) data for an optimized crystal structure of KMoRh2, as listed in the Alexandria database.

a = 6.7418 Å, b = 2.8041 Å, c = 8.5937 Å
α = 90.00°, β = 91.98°, γ = 90.00°
With the nearest neighbours (Å) after each atom.
Space group C2/m (No. 12)
Asymmetric unit:
K 0.0000 0.0000 0.0000 (multiplicity 2)  2 K 2.80
Mo 0.0000 0.5000 0.5000 (multiplicity 2)  6 Rh 2.40-2.67
Rh 0.2449 0.0000 0.6875 (multiplicity 4)  3 Mo 2.40-2.67

Properties
**ΔE_f**: 0.3965 eV per atom
**Final energy**: -6.26 eV per atom
**Energy above the lowest structure with this stoichiometry**: 134 meV/atom